# 1
# ThSiIr

A geometry-optimized ThSiIr structure (PBE-GGA, Alexandria).

## Properties
ΔE_f (raw): -1.02 eV/atom
E_tot: -8.255 eV/atom

Lattice parameters (Å, degrees): 7.7904 7.7904 7.7904 148.80 148.80 44.71
Closest atoms and distances in Å follow each position.
Fractional coordinates of all 6 atoms:
Th: 0.0778 0.5778 0.5000  6 Ir 3.10-3.24, 6 Si 3.17-3.25
Th: 0.3278 0.3278 0.0000  6 Ir 3.10-3.24, 6 Si 3.17-3.25
Si: 0.5004 0.0004 0.5000  3 Ir 2.40-2.43
Si: 0.7504 0.7504 0.0000  3 Ir 2.40-2.43
Ir: 0.6688 0.1688 0.5000  3 Si 2.40-2.43
Ir: 0.9188 0.9188 0.0000  3 Si 2.40-2.43

# 2
# TlOs2Pt

A geometry-optimized TlOs2Pt structure (PBE-GGA, Alexandria).

## Properties
Energy above the lowest structure with this stoichiometry: 0.5404 eV per atom
E_tot: -6.790 eV/atom
Calculated formation energy: 0.93 eV per atom

Lattice parameters (Å, degrees): 4.4684 4.4684 3.3077 90.00 90.00 90.00
Closest atoms and distances in Å follow each position.
Fractional coordinates of all 4 atoms:
Os: 0.0000 0.0000 0.0000  4 Tl 2.78, 4 Pt 2.78
Os: 0.5000 0.5000 0.0000  4 Tl 2.78, 4 Pt 2.78
Pt: 0.5000 0.0000 0.5000  8 Os 2.78
Tl: 0.0000 0.5000 0.5000  8 Os 2.78

# 3
# Ba2LiPO

A geometry-optimized Ba2LiPO structure (PBE-GGA, Alexandria).

## Properties
ΔE_f (raw): -1.53 eV/atom
Energy above the lowest structure with this stoichiometry: 0.0000 eV per atom
E_tot: -4.760 eV/atom

Lattice parameters (Å, degrees): 4.3044 6.9902 8.5969 107.20 90.00 90.00
Closest atoms and distances in Å follow each position.
Fractional coordinates of all 10 atoms:
Ba: 0.7500 0.8048 0.6061  2 O 2.87
Ba: 0.7500 0.7823 0.0437  3 O 2.60-2.90
Ba: 0.2500 0.1952 0.3939  2 O 2.87
Ba: 0.2500 0.2177 0.9563  3 O 2.60-2.90
Li: 0.2500 0.5485 0.7494  1 O 1.89
Li: 0.7500 0.4515 0.2506  1 O 1.89
P: 0.2500 0.6535 0.2989  2 Li 2.54
P: 0.7500 0.3465 0.7011  2 Li 2.54
O: 0.2500 0.8309 0.8328  1 Li 1.89
O: 0.7500 0.1691 0.1672  1 Li 1.89

# 4
# NdZrCo2

A geometry-optimized NdZrCo2 structure (PBE-GGA, Alexandria).

## Properties
Energy above the lowest structure with this stoichiometry: 0.0000 eV per atom
E_tot: -7.000 eV/atom
Calculated formation energy: -0.12 eV per atom

Lattice parameters (Å, degrees): 3.2654 3.2654 6.8659 90.00 90.00 90.00
Closest atoms and distances in Å follow each position.
Fractional coordinates of all 4 atoms:
Co: 0.0000 0.0000 0.7912  4 Zr 2.72, 1 Co 2.87
Co: 0.0000 0.0000 0.2088  4 Zr 2.72, 1 Co 2.87
Nd: 0.5000 0.5000 0.5000  8 Co 3.05, 4 Nd 3.27
Zr: 0.5000 0.5000 0.0000  8 Co 2.72